Record 1
! PaRu, optimized geometry, DFT PBE-GGA; values from VASP
&SYSTEM
  ibrav = 0, nat = 2, ntyp = 2
/
ATOMIC_SPECIES
Ru 101.07 Ru.upf
Pa 231.04 Pa.upf
CELL_PARAMETERS angstrom
3.9343 0.0000 0.0000
1.9671 3.4072 0.0000
1.9671 1.1357 3.2123
ATOMIC_POSITIONS crystal
Ru 0.5000 0.5000 0.5000
Pa 0.0000 0.0000 0.0000
! Spin magnetization in μB/cell: 0.00
! SG: Fm-3m, No. 225
! Calculated total energy in eV/atom: -9.851
! Energy relative to the elements in meV/atom: -465.6

=====

Record 2
! CrNi2, optimized geometry, DFT PBE-GGA; values from VASP
&SYSTEM
  ibrav = 0, nat = 3, ntyp = 2
/
ATOMIC_SPECIES
Cr 52.00 Cr.upf
Ni 58.69 Ni.upf
CELL_PARAMETERS angstrom
4.0176 0.0000 0.0000
0.0000 4.0176 0.0000
0.0000 0.0000 2.5339
ATOMIC_POSITIONS crystal
Cr 0.0000 0.0000 0.0000
Ni 0.0000 0.5000 0.5000
Ni 0.5000 0.0000 0.5000
! Spin magnetization in μB/cell: 1.40
! SG: P4/mmm, No. 123
! Calculated total energy in eV/atom: -6.368
! Energy relative to the elements in meV/atom: 693.5

=====

Record 3
! Ac2Zn6Ir3, optimized geometry, DFT PBE-GGA; values from VASP
&SYSTEM
  ibrav = 0, nat = 11, ntyp = 3
/
ATOMIC_SPECIES
Ac 227.00 Ac.upf
Zn 65.41 Zn.upf
Ir 192.22 Ir.upf
CELL_PARAMETERS angstrom
-3.2701 -2.4982 0.1543
2.5466 -3.7293 -6.4071
2.2138 -2.4589 7.1061
ATOMIC_POSITIONS crystal
Ac 0.0000 0.6667 0.3333
Ac 0.0000 0.3333 0.6667
Zn 0.5000 0.7226 0.7226
Zn 0.5000 0.0000 0.2774
Zn 0.0000 0.1898 0.1898
Zn 0.0000 0.8102 0.0000
Zn 0.5000 0.2774 0.0000
Zn 0.0000 0.0000 0.8102
Ir 0.5000 0.3864 0.3864
Ir 0.5000 0.6136 0.0000
Ir 0.5000 0.0000 0.6136
! Spin magnetization in μB/cell: 0.00
! SG: P-62m, No. 189
! Calculated total energy in eV/atom: -4.217
! Energy relative to the elements in meV/atom: -358.0

=====

Record 4
! Rb11HgAu2, optimized geometry, DFT PBE-GGA; values from VASP
&SYSTEM
  ibrav = 0, nat = 28, ntyp = 3
/
ATOMIC_SPECIES
Rb 85.47 Rb.upf
Hg 200.59 Hg.upf
Au 196.97 Au.upf
CELL_PARAMETERS angstrom
11.8621 0.0000 6.1830
5.4855 12.3433 3.9463
0.2092 -0.2059 14.0689
ATOMIC_POSITIONS crystal
Rb 0.6587 0.6809 0.5723
Rb 0.3413 0.3191 0.4277
Rb 0.0882 0.5723 0.6809
Rb 0.8413 0.9277 0.8191
Rb 0.9118 0.4277 0.3191
Rb 0.1587 0.0723 0.1809
Rb 0.4118 0.8191 0.9277
Rb 0.5882 0.1809 0.0723
Rb 0.5000 0.5000 0.5000
Rb 0.0000 0.0000 0.0000
Rb 0.8738 0.7788 0.2212
Rb 0.1262 0.2212 0.7788
Rb 0.6262 0.2788 0.7212
Rb 0.3738 0.7212 0.2788
Rb 0.4546 0.9545 0.3585
Rb 0.5454 0.0455 0.6415
Rb 0.2325 0.3585 0.9545
Rb 0.0454 0.1415 0.5455
Rb 0.7675 0.6415 0.0455
Rb 0.9546 0.8585 0.4545
Rb 0.2675 0.5455 0.1415
Rb 0.7325 0.4545 0.8585
Hg 0.7500 0.7500 0.7500
Hg 0.2500 0.2500 0.2500
Au 0.6447 0.6743 0.3257
Au 0.3553 0.3257 0.6743
Au 0.8553 0.1743 0.8257
Au 0.1447 0.8257 0.1743
! Spin magnetization in μB/cell: 0.00
! SG: Ibam, No. 72
! Calculated total energy in eV/atom: -1.334
! Energy relative to the elements in meV/atom: -83.5

=====

Record 5
! YTiCu, optimized geometry, DFT PBE-GGA; values from VASP
&SYSTEM
  ibrav = 0, nat = 6, ntyp = 3
/
ATOMIC_SPECIES
Y 88.91 Y.upf
Cu 63.55 Cu.upf
Ti 47.87 Ti.upf
CELL_PARAMETERS angstrom
7.1571 -0.0020 0.0094
0.3195 5.6348 -0.0088
0.7316 -0.9713 3.0070
ATOMIC_POSITIONS crystal
Y 0.7627 0.6327 0.9775
Y 0.0643 0.1394 0.0799
Cu 0.3896 0.9332 0.3146
Cu 0.1018 0.6830 0.3327
Ti 0.6161 0.1417 0.8051
Ti 0.3839 0.5082 0.6044
! Spin magnetization in μB/cell: 0.00
! SG: Cm, No. 8
! Calculated total energy in eV/atom: -6.107
! Energy relative to the elements in meV/atom: 44.4

=====

Record 6
! Sm4Dy3Zn, optimized geometry, DFT PBE-GGA; values from VASP
&SYSTEM
  ibrav = 0, nat = 8, ntyp = 3
/
ATOMIC_SPECIES
Zn 65.41 Zn.upf
Sm 150.36 Sm.upf
Dy 162.50 Dy.upf
CELL_PARAMETERS angstrom
3.6095 0.0000 0.0000
0.0000 3.6095 0.0000
0.0000 0.0000 18.7744
ATOMIC_POSITIONS crystal
Zn 0.5000 0.5000 0.0000
Sm 0.0000 0.0000 0.9030
Sm 0.0000 0.0000 0.0970
Sm 0.0000 0.0000 0.3661
Sm 0.0000 0.0000 0.6339
Dy 0.5000 0.5000 0.2333
Dy 0.5000 0.5000 0.5000
Dy 0.5000 0.5000 0.7667
! Spin magnetization in μB/cell: 0.00
! SG: P4/mmm, No. 123
! Calculated total energy in eV/atom: -4.311
! Energy relative to the elements in meV/atom: -66.0

=====

Record 7
! Y2NiTe2, optimized geometry, DFT PBE-GGA; values from VASP
&SYSTEM
  ibrav = 0, nat = 10, ntyp = 3
/
ATOMIC_SPECIES
Y 88.91 Y.upf
Ni 58.69 Ni.upf
Te 127.60 Te.upf
CELL_PARAMETERS angstrom
-2.2945 3.2677 6.9033
5.8037 -3.9398 3.7939
2.5933 3.1942 -0.6500
ATOMIC_POSITIONS crystal
Y 0.3412 0.8412 0.0000
Y 0.8412 0.6587 0.0000
Y 0.6587 0.1588 0.0000
Y 0.1588 0.3412 0.0000
Ni 0.0000 0.0000 0.0000
Ni 0.5000 0.5000 0.0000
Te 0.1505 0.6505 0.5000
Te 0.6505 0.8495 0.5000
Te 0.8495 0.3495 0.5000
Te 0.3495 0.1505 0.5000
! Spin magnetization in μB/cell: 0.45
! SG: P4/mbm, No. 127
! Calculated total energy in eV/atom: -5.669
! Formation energy from raw total energies in eV per atom: -0.670

=====

Record 8
! MnGaPd5, optimized geometry, DFT PBE-GGA; values from VASP
&SYSTEM
  ibrav = 0, nat = 7, ntyp = 3
/
ATOMIC_SPECIES
Mn 54.94 Mn.upf
Ga 69.72 Ga.upf
Pd 106.42 Pd.upf
CELL_PARAMETERS angstrom
-0.3040 -2.9669 2.6540
2.9647 1.6076 2.1367
-4.6406 3.7270 3.6348
ATOMIC_POSITIONS crystal
Mn 0.0000 0.0000 0.5000
Ga 0.5000 0.5000 0.0000
Pd 0.0000 0.5000 0.7777
Pd 0.0000 0.5000 0.2223
Pd 0.5000 0.0000 0.7777
Pd 0.5000 0.0000 0.2223
Pd 0.5000 0.5000 0.5000
! Spin magnetization in μB/cell: 4.03
! SG: P4/mmm, No. 123
! Calculated total energy in eV/atom: -5.781
! Energy relative to the elements in meV/atom: -329.8

=====

Record 9
! Ba2Sr4Ca3, optimized geometry, DFT PBE-GGA; values from VASP
&SYSTEM
  ibrav = 0, nat = 9, ntyp = 3
/
ATOMIC_SPECIES
Ba 137.33 Ba.upf
Sr 87.62 Sr.upf
Ca 40.08 Ca.upf
CELL_PARAMETERS angstrom
-2.0007 6.4019 3.5073
-4.4675 -6.1097 0.0096
7.6386 -3.3536 6.6087
ATOMIC_POSITIONS crystal
Ba 0.6154 0.6154 0.2309
Ba 0.3846 0.3846 0.7691
Sr 0.3311 0.0160 0.3470
Sr 0.6689 0.9840 0.6530
Sr 0.9840 0.6689 0.6530
Sr 0.0160 0.3311 0.3470
Ca 0.5000 0.0000 0.0000
Ca 0.0000 0.5000 0.0000
Ca 0.0000 0.0000 0.0000
! Spin magnetization in μB/cell: 0.00
! SG: Fmmm, No. 69
! Calculated total energy in eV/atom: -1.826
! Energy relative to the elements in meV/atom: 15.7

=====

Record 10
! TcRh2I2, optimized geometry, DFT PBE-GGA; values from VASP
&SYSTEM
  ibrav = 0, nat = 10, ntyp = 3
/
ATOMIC_SPECIES
I 126.90 I.upf
Rh 102.91 Rh.upf
Tc 98.00 Tc.upf
CELL_PARAMETERS angstrom
7.0898 0.0000 0.0000
0.0000 7.0898 0.0000
0.0000 0.0000 4.0453
ATOMIC_POSITIONS crystal
I 0.1811 0.6811 0.5000
I 0.6811 0.8189 0.5000
I 0.8189 0.3189 0.5000
I 0.3189 0.1811 0.5000
Rh 0.3642 0.8642 0.0000
Rh 0.8642 0.6358 0.0000
Rh 0.6358 0.1358 0.0000
Rh 0.1358 0.3642 0.0000
Tc 0.0000 0.0000 0.0000
Tc 0.5000 0.5000 0.0000
! Spin magnetization in μB/cell: 6.75
! SG: P4/mbm, No. 127
! Calculated total energy in eV/atom: -4.848
! Formation energy from raw total energies in eV per atom: 0.786

=====

Record 11
! Li2Mg3Ga2, optimized geometry, DFT PBE-GGA; values from VASP
&SYSTEM
  ibrav = 0, nat = 7, ntyp = 3
/
ATOMIC_SPECIES
Li 6.94 Li.upf
Mg 24.30 Mg.upf
Ga 69.72 Ga.upf
CELL_PARAMETERS angstrom
-1.9710 -4.0553 0.4430
2.8656 1.6205 4.4165
-4.8686 2.5994 2.1337
ATOMIC_POSITIONS crystal
Li 0.5898 0.1796 0.3126
Li 0.4102 0.8204 0.6874
Mg 0.2986 0.5972 0.1706
Mg 0.0000 0.0000 0.0000
Mg 0.7014 0.4028 0.8294
Ga 0.1287 0.2573 0.5633
Ga 0.8713 0.7427 0.4367
! Spin magnetization in μB/cell: 0.00
! SG: C2/m, No. 12
! Calculated total energy in eV/atom: -2.241
! Energy relative to the elements in meV/atom: -145.7